#P
DFT (PBEsol) results for a relaxed Al2CoMo crystal.

Summary:
For the density of states at the Fermi level, the calculation gives 2.8 states/eV per cell. Its symmetry is P4mm (99).

Cell: 2.9587 2.9587 6.1204 Å, 90.00 90.00 90.00°
Site moments in Bohr magnetons follow the coordinates.
Element x y z (fractional)
Mo: 0.5000 0.5000 0.7357  0.01
Co: 0.0000 0.0000 0.4790  0.30
Al: 0.0000 0.0000 0.0019  0.00
Al: 0.5000 0.5000 0.2834  0.00

---

#Q
DFT (PBEsol) results for a relaxed Al2CoMo crystal.

Summary:
For the density of states at the Fermi level, the calculation gives 3.9 states/eV per cell. Its symmetry is P2/m (10).

Cell: 2.6902 3.9552 5.1494 Å, 90.00 101.03 90.00°
Element x y z (fractional)
Mo: 0.0000 0.5000 0.5000
Co: 0.5000 0.5000 0.0000
Al: 0.6714 0.0000 0.7631
Al: 0.3286 0.0000 0.2369

---

Most stable: #P

---

#P
DFT (PBEsol) results for a relaxed AlCoNi crystal.

Summary:
For the density of states at the Fermi level, the calculation gives 4.8 states/eV per cell. Its symmetry is I4mm (107).

Cell: 2.7632 2.7632 4.7898 Å, 106.76 106.76 90.00°
Site moments in Bohr magnetons follow the coordinates.
Element x y z (fractional)
Ni: 0.6662 0.6662 0.3324  0.18
Co: 0.3343 0.3343 0.6687  0.63
Al: 0.9994 0.9994 0.9989  -0.01

---

#Q
DFT (PBEsol) results for a relaxed AlCoNi crystal.

Summary:
For the density of states at the Fermi level, the calculation gives 3.2 states/eV per cell. Its symmetry is F-43m (216).

Cell: 3.8052 3.8052 3.8052 Å, 60.00 60.00 60.00°
Site moments in Bohr magnetons follow the coordinates.
Element x y z (fractional)
Ni: 0.5000 0.5000 0.5000  0.01
Co: 0.0000 0.0000 0.0000  0.14
Al: 0.2500 0.2500 0.2500  -0.01

---

Most stable: #P

---

#P
DFT (PBEsol) results for a relaxed Al2CoOs crystal.

Summary:
For the density of states at the Fermi level, the calculation gives 4.2 states/eV per cell. Its symmetry is P4mm (99).

Cell: 3.0740 3.0740 5.4897 Å, 90.00 90.00 90.00°
Site moments in Bohr magnetons follow the coordinates.
Element x y z (fractional)
Co: 0.0000 0.0000 0.4742  0.84
Os: 0.5000 0.5000 0.7632  0.18
Al: 0.0000 0.0000 0.9874  -0.01
Al: 0.5000 0.5000 0.2752  -0.01

---

#Q
DFT (PBEsol) results for a relaxed Al2CoOs crystal.

Summary:
For the density of states at the Fermi level, the calculation gives 3.3 states/eV per cell. Its symmetry is Fm-3m (225).

Cell: 4.1314 4.1314 4.1314 Å, 60.00 60.00 60.00°
Element x y z (fractional)
Co: 0.5000 0.5000 0.5000
Os: 0.0000 0.0000 0.0000
Al: 0.2500 0.2500 0.2500
Al: 0.7500 0.7500 0.7500

---

Most stable: #Q

---

#P
DFT (PBEsol) results for a relaxed Al2CoRu crystal.

Summary:
For the density of states at the Fermi level, the calculation gives 2.9 states/eV per cell. Its symmetry is P4/mmm (123).

Cell: 2.9448 4.0857 4.0857 Å, 90.00 90.00 90.00°
Element x y z (fractional)
Ru: 0.5000 0.5000 0.5000
Co: 0.5000 0.0000 0.0000
Al: 0.0000 0.5000 0.0000
Al: 0.0000 0.0000 0.5000

---

#Q
DFT (PBEsol) results for a relaxed Al2CoRu crystal.

Summary:
For the density of states at the Fermi level, the calculation gives 4.0 states/eV per cell. Its symmetry is I-4m2 (119).

Cell: 3.5266 3.5266 4.7747 Å, 111.67 111.67 90.00°
Element x y z (fractional)
Ru: 0.2500 0.7500 0.5000
Co: 0.5000 0.5000 0.0000
Al: 0.0000 0.0000 0.0000
Al: 0.7500 0.2500 0.5000

---

Most stable: #P

---

#P
DFT (PBEsol) results for a relaxed AlTlCo crystal.

Summary:
For the density of states at the Fermi level, the calculation gives 2.2 states/eV per cell. Its symmetry is P3m1 (156).

Cell: 3.0311 3.0311 6.2978 Å, 90.00 90.00 120.00°
Site moments in Bohr magnetons follow the coordinates.
Element x y z (fractional)
Tl: 0.6667 0.3333 0.3583  -0.02
Co: 0.3333 0.6667 0.6913  0.65
Al: 0.0000 0.0000 0.9504  -0.01

---

#Q
DFT (PBEsol) results for a relaxed AlTlCo crystal.

Summary:
For the density of states at the Fermi level, the calculation gives 2.4 states/eV per cell. Its symmetry is F-43m (216).

Cell: 4.1932 4.1932 4.1932 Å, 60.00 60.00 60.00°
Element x y z (fractional)
Tl: 0.0000 0.0000 0.0000
Co: 0.2500 0.2500 0.2500
Al: 0.5000 0.5000 0.5000

---

Most stable: #Q

---

#P
DFT (PBEsol) results for a relaxed AlTl2Co crystal.

Summary:
For the density of states at the Fermi level, the calculation gives 3.1 states/eV per cell. Its symmetry is P2/m (10).

Cell: 3.3839 4.6694 5.2057 Å, 112.36 90.00 90.00°
Site moments in Bohr magnetons follow the coordinates.
Element x y z (fractional)
Tl: 0.0000 0.0000 0.0000  -0.01
Tl: 0.5000 0.0000 0.5000  -0.01
Co: 0.0000 0.5000 0.5000  1.23
Al: 0.5000 0.5000 0.0000  0.00

---

#Q
DFT (PBEsol) results for a relaxed AlTl2Co crystal.

Summary:
For the density of states at the Fermi level, the calculation gives 3.1 states/eV per cell. Its symmetry is C2/m (12).

Cell: 3.3359 5.5357 5.5357 Å, 113.94 107.29 107.29°
Site moments in Bohr magnetons follow the coordinates.
Element x y z (fractional)
Tl: 0.0000 0.5000 0.0000  -0.01
Tl: 0.0000 0.0000 0.5000  -0.01
Co: 0.5000 0.5000 0.5000  1.20
Al: 0.5000 0.0000 0.0000  0.00

---

#R
DFT (PBEsol) results for a relaxed AlTl2Co crystal.

Summary:
For the density of states at the Fermi level, the calculation gives 4.5 states/eV per cell. Its symmetry is P4/mmm (123).

Cell: 3.9299 4.3851 4.3851 Å, 90.00 90.00 90.00°
Site moments in Bohr magnetons follow the coordinates.
Element x y z (fractional)
Tl: 0.0000 0.0000 0.5000  0.00
Tl: 0.0000 0.5000 0.0000  0.00
Co: 0.5000 0.0000 0.0000  1.30
Al: 0.5000 0.5000 0.5000  0.01

---

Most stable: #P

---

#P
DFT (PBEsol) results for a relaxed Al2TlCo crystal.

Summary:
For the density of states at the Fermi level, the calculation gives 2.0 states/eV per cell. Its symmetry is P4/mmm (123).

Cell: 2.8878 2.8878 8.1398 Å, 90.00 90.00 90.00°
Site moments in Bohr magnetons follow the coordinates.
Element x y z (fractional)
Tl: 0.5000 0.5000 0.5000  0.00
Co: 0.5000 0.5000 0.0000  0.49
Al: 0.0000 0.0000 0.8304  0.00
Al: 0.0000 0.0000 0.1696  0.00

---

#Q
DFT (PBEsol) results for a relaxed Al2TlCo crystal.

Summary:
For the density of states at the Fermi level, the calculation gives 2.6 states/eV per cell. Its symmetry is P2/m (10).

Cell: 3.1074 4.6898 4.6941 Å, 111.25 90.00 90.00°
Site moments in Bohr magnetons follow the coordinates.
Element x y z (fractional)
Tl: 0.0000 0.5000 0.5000  0.00
Co: 0.5000 0.0000 0.5000  0.39
Al: 0.0000 0.0000 0.0000  0.00
Al: 0.5000 0.5000 0.0000  0.00

---

Most stable: #P

---

#P
DFT (PBEsol) results for a relaxed AlCrFe2 crystal.

Summary:
For the density of states at the Fermi level, the calculation gives 3.1 states/eV per cell. Its symmetry is Immm (71).

Cell: 2.9891 3.9901 4.5510 Å, 116.00 109.17 90.00°
Site moments in Bohr magnetons follow the coordinates.
Element x y z (fractional)
Cr: 0.0000 0.5000 0.0000  -1.28
Fe: 0.7416 0.7416 0.4832  1.50
Fe: 0.2584 0.2584 0.5168  1.50
Al: 0.5000 0.0000 0.0000  -0.01

---

#Q
DFT (PBEsol) results for a relaxed AlCrFe2 crystal.

Summary:
For the density of states at the Fermi level, the calculation gives 3.8 states/eV per cell. Its symmetry is Fm-3m (225).

Cell: 3.9508 3.9508 3.9508 Å, 60.00 60.00 60.00°
Site moments in Bohr magnetons follow the coordinates.
Element x y z (fractional)
Cr: 0.5000 0.5000 0.5000  0.93
Fe: 0.2500 0.2500 0.2500  0.00
Fe: 0.7500 0.7500 0.7500  0.00
Al: 0.0000 0.0000 0.0000  -0.01

---

#R
DFT (PBEsol) results for a relaxed AlCrFe2 crystal.

Summary:
For the density of states at the Fermi level, the calculation gives 3.6 states/eV per cell. Its symmetry is Imm2 (44).

Cell: 2.8369 3.8947 4.6685 Å, 114.65 107.69 90.00°
Site moments in Bohr magnetons follow the coordinates.
Element x y z (fractional)
Cr: 0.2591 0.7591 0.5183  -0.38
Fe: 0.9942 0.9942 0.9883  0.38
Fe: 0.7474 0.2474 0.4948  1.22
Al: 0.4993 0.4993 0.9986  -0.01

---

Most stable: #Q

---

#P
DFT (PBEsol) results for a relaxed MgAlCr crystal.

Summary:
For the density of states at the Fermi level, the calculation gives 2.7 states/eV per cell. Its symmetry is P3m1 (156).

Cell: 2.7796 2.7796 6.8279 Å, 90.00 90.00 120.00°
Element x y z (fractional)
Cr: 0.3333 0.6667 0.6780
Mg: 0.6667 0.3333 0.3478
Al: 0.0000 0.0000 0.9742

---

#Q
DFT (PBEsol) results for a relaxed MgAlCr crystal.

Summary:
For the density of states at the Fermi level, the calculation gives 2.7 states/eV per cell. Its symmetry is Fmm2 (42).

Cell: 2.6623 2.6623 6.6999 Å, 99.14 99.14 101.56°
Element x y z (fractional)
Cr: 0.3403 0.3403 0.6806
Mg: 0.6745 0.6745 0.3491
Al: 0.9852 0.9852 0.9703

---

#R
DFT (PBEsol) results for a relaxed MgAlCr crystal.

Summary:
For the density of states at the Fermi level, the calculation gives 2.1 states/eV per cell. Its symmetry is F-43m (216).

Cell: 4.3892 4.3892 4.3892 Å, 60.00 60.00 60.00°
Site moments in Bohr magnetons follow the coordinates.
Element x y z (fractional)
Cr: 0.0000 0.0000 0.0000  3.21
Mg: 0.5000 0.5000 0.5000  -0.04
Al: 0.2500 0.2500 0.2500  -0.11

---

Most stable: #Q

---

#P
DFT (PBEsol) results for a relaxed Al2CrMo crystal.

Summary:
For the density of states at the Fermi level, the calculation gives 2.9 states/eV per cell. Its symmetry is Cmmm (65).

Cell: 2.6344 2.6344 8.2310 Å, 90.00 90.00 104.36°
Element x y z (fractional)
Cr: 0.5000 0.5000 0.5000
Mo: 0.5000 0.5000 0.0000
Al: 0.0000 0.0000 0.2632
Al: 0.0000 0.0000 0.7368

---

#Q
DFT (PBEsol) results for a relaxed Al2CrMo crystal.

Summary:
For the density of states at the Fermi level, the calculation gives 2.4 states/eV per cell. Its symmetry is P4mm (99).

Cell: 3.0871 3.0871 5.8499 Å, 90.00 90.00 90.00°
Element x y z (fractional)
Cr: 0.0000 0.0000 0.5100
Mo: 0.5000 0.5000 0.7301
Al: 0.0000 0.0000 0.9938
Al: 0.5000 0.5000 0.2660

---

Most stable: #Q

---

#P
DFT (PBEsol) results for a relaxed AlCrOs crystal.

Summary:
For the density of states at the Fermi level, the calculation gives 2.6 states/eV per cell. Its symmetry is Fmm2 (42).

Cell: 2.6544 2.6544 6.4199 Å, 96.83 96.83 115.14°
Element x y z (fractional)
Cr: 0.3321 0.3321 0.6642
Os: 0.6706 0.6706 0.3413
Al: 0.9973 0.9973 0.9945

---

#Q
DFT (PBEsol) results for a relaxed AlCrOs crystal.

Summary:
For the density of states at the Fermi level, the calculation gives 1.8 states/eV per cell. Its symmetry is I4mm (107).

Cell: 2.8919 2.8919 5.0276 Å, 106.71 106.71 90.00°
Element x y z (fractional)
Cr: 0.6700 0.6700 0.3401
Os: 0.3267 0.3267 0.6534
Al: 0.0032 0.0032 0.0065

---

#R
DFT (PBEsol) results for a relaxed AlCrOs crystal.

Summary:
For the density of states at the Fermi level, the calculation gives 2.7 states/eV per cell. Its symmetry is P3m1 (156).

Cell: 2.7098 2.7098 6.2845 Å, 90.00 90.00 120.00°
Element x y z (fractional)
Cr: 0.3333 0.6667 0.6587
Os: 0.6667 0.3333 0.3473
Al: 0.0000 0.0000 0.9940

---

Most stable: #Q

---

#P
DFT (PBEsol) results for a relaxed Al2CrOs crystal.

Summary:
For the density of states at the Fermi level, the calculation gives 1.6 states/eV per cell. Its symmetry is Fm-3m (225).

Cell: 4.2455 4.2455 4.2455 Å, 60.00 60.00 60.00°
Site moments in Bohr magnetons follow the coordinates.
Element x y z (fractional)
Cr: 0.0000 0.0000 0.0000  2.85
Os: 0.5000 0.5000 0.5000  0.09
Al: 0.7500 0.7500 0.7500  -0.01
Al: 0.2500 0.2500 0.2500  -0.01

---

#Q
DFT (PBEsol) results for a relaxed Al2CrOs crystal.

Summary:
For the density of states at the Fermi level, the calculation gives 2.5 states/eV per cell. Its symmetry is Cm (8).

Cell: 3.0205 4.1404 4.9849 Å, 114.44 107.64 90.00°
Site moments in Bohr magnetons follow the coordinates.
Element x y z (fractional)
Cr: 0.5075 0.5072 0.0151  1.34
Os: 0.2404 0.7408 0.4809  0.03
Al: 0.9901 0.9897 0.9801  -0.01
Al: 0.7620 0.2623 0.5239  -0.01

---

#R
DFT (PBEsol) results for a relaxed Al2CrOs crystal.

Summary:
For the density of states at the Fermi level, the calculation gives 2.6 states/eV per cell. Its symmetry is P4/mmm (123).

Cell: 3.1037 4.1694 4.1694 Å, 90.00 90.00 90.00°
Site moments in Bohr magnetons follow the coordinates.
Element x y z (fractional)
Cr: 0.5000 0.5000 0.5000  2.56
Os: 0.5000 0.0000 0.0000  0.25
Al: 0.0000 0.0000 0.5000  -0.01
Al: 0.0000 0.5000 0.0000  -0.01

---

Most stable: #P